1.
# Sr2Zn3O5, optimized geometry, DFT PBE
# volume	257.83	Å³ per cell
# energy above the most stable polymorph in this dataset	0.000	eV/atom
data_Sr2Zn3O5
_chemical_formula_sum 'Sr4 Zn6 O10'
_cell_length_a 3.3592
_cell_length_b 4.1283
_cell_length_c 18.5921
_cell_angle_alpha 90.00
_cell_angle_beta 90.00
_cell_angle_gamma 90.00
_symmetry_space_group_name_H-M 'I m m m'
_symmetry_Int_Tables_number 71
_symmetry_space_group_name_Hall '-I 2 2'
loop_
_atom_site_label
_atom_site_type_symbol
_atom_site_fract_x
_atom_site_fract_y
_atom_site_fract_z
Sr1 Sr 0.0000 0.0000 0.1064
Zn1 Zn 0.0000 0.0000 0.2858
Zn2 Zn 0.0000 0.0000 0.5000
O1 O 0.0000 0.0000 0.3937
O2 O 0.0000 0.5000 0.2797
O3 O 0.0000 0.5000 0.5000

2.
# SrZn2O3, optimized geometry, DFT PBE
# volume	164.27	Å³ per cell
# energy above the most stable polymorph in this dataset	0.156	eV/atom
data_SrZn2O3
_chemical_formula_sum 'Sr2 Zn4 O6'
_cell_length_a 4.0834
_cell_length_b 11.8303
_cell_length_c 3.4005
_cell_angle_alpha 90.00
_cell_angle_beta 90.00
_cell_angle_gamma 90.00
_symmetry_space_group_name_H-M 'C m m m'
_symmetry_Int_Tables_number 65
_symmetry_space_group_name_Hall '-C 2 2'
loop_
_atom_site_label
_atom_site_type_symbol
_atom_site_fract_x
_atom_site_fract_y
_atom_site_fract_z
Sr1 Sr 0.0000 0.0000 0.0000
Zn1 Zn 0.0000 0.3327 0.5000
O1 O 0.0000 0.1673 0.5000
O2 O 0.0000 0.5000 0.5000